[1]
Density functional theory data (SCAN) for a crystal of Zr2ZnAs relaxed with PBEsol. Values from VASP.

The structure in Quantum ESPRESSO input format:
```
&SYSTEM
  ibrav = 0, nat = 4, ntyp = 3
/
ATOMIC_SPECIES
Zr 91.22 Zr.upf
Zn 65.41 Zn.upf
As 74.92 As.upf
CELL_PARAMETERS angstrom
3.742 0.000 0.000
0.000 3.818 0.000
-1.871 0.000 5.061
ATOMIC_POSITIONS crystal
Zr 0.277 0.500 0.553
Zr 0.982 0.000 0.964
Zn 0.544 0.500 0.087
As 0.706 0.000 0.413
```

Calculated values
crystal system = orthorhombic
space-group type = No. 38
Fermi-level density of states = 2.07 states/eV/f.u.
ΔH_f (0 K) = -0.86 eV/atom

[2]
Density functional theory data (SCAN) for a crystal of Sm3AlC relaxed with PBEsol. Values from VASP.

The structure in Quantum ESPRESSO input format:
```
&SYSTEM
  ibrav = 0, nat = 5, ntyp = 3
/
ATOMIC_SPECIES
Sm 150.36 Sm.upf
C 12.01 C.upf
Al 26.98 Al.upf
CELL_PARAMETERS angstrom
4.952 0.000 0.000
0.000 4.952 0.000
0.000 0.000 4.952
ATOMIC_POSITIONS crystal
Sm 0.500 0.000 0.500
Sm 0.000 0.500 0.500
Sm 0.500 0.500 0.000
C 0.500 0.500 0.500
Al 0.000 0.000 0.000
```

Calculated values
crystal system = cubic
space-group type = No. 221
Fermi-level density of states = 1.59 states/eV/f.u.
ΔH_f (0 K) = -0.35 eV/atom

[3]
Density functional theory data (SCAN) for a crystal of Si2SeN2 relaxed with PBEsol. Values from VASP.

The structure in Quantum ESPRESSO input format:
```
&SYSTEM
  ibrav = 0, nat = 10, ntyp = 3
/
ATOMIC_SPECIES
Si 28.09 Si.upf
N 14.01 N.upf
Se 78.96 Se.upf
CELL_PARAMETERS angstrom
-4.333 -2.081 -0.838
2.545 -4.291 -2.503
-0.954 -0.417 5.969
ATOMIC_POSITIONS crystal
Si 0.410 0.458 0.625
Si 0.410 0.833 0.375
Si 0.910 0.167 0.625
Si 0.910 0.542 0.375
N 0.756 0.851 0.445
N 0.756 0.406 0.555
N 0.256 0.594 0.445
N 0.256 0.149 0.555
Se 0.761 0.219 0.000
Se 0.261 0.781 0.000
```

Calculated values
crystal system = orthorhombic
space-group type = No. 36
Fermi-level density of states = 0.00 states/eV/f.u.

Table of calculated total energy (eV for the cell shown), in record order: -98.5, -152.9, -127.3
Table of spin magnetization (μB per formula unit), in record order: 0.0, 0.0, 0.0
Table of volume (Å³/cell), in record order: 72.3, 121.5, 146.5